Record 1
## Ta2FeSnH (GGA-PBE)

Data for crystalline Ta2FeSnH at its relaxed geometry.

## Properties
calculated total energy = -0.2900 hartree per atom

```
data_Ta2FeSnH
_chemical_formula_sum 'Ta2 Fe1 Sn1 H1'
_space_group_name_H-M_alt 'P 1'
_space_group_IT_number 1
_space_group_name_Hall 'P 1'
_cell_length_a 4.084
_cell_length_b 4.084
_cell_length_c 4.232
_cell_angle_alpha 90.00
_cell_angle_beta 90.00
_cell_angle_gamma 90.00
loop_
_atom_site_label
_atom_site_fract_x
_atom_site_fract_y
_atom_site_fract_z
Sn1 0.500 0.500 0.500
Fe1 0.000 0.000 0.500
Ta1 0.500 0.000 0.000
Ta2 0.000 0.500 0.000
H1 0.000 0.000 0.000
```

Record 2
## TaFe2SnH (GGA-PBE)

Data for crystalline TaFe2SnH at its relaxed geometry.

## Properties
calculated total energy = -0.2635 hartree per atom

```
data_TaFe2SnH
_chemical_formula_sum 'Ta1 Fe2 Sn1 H1'
_space_group_name_H-M_alt 'P 1'
_space_group_IT_number 1
_space_group_name_Hall 'P 1'
_cell_length_a 4.027
_cell_length_b 4.027
_cell_length_c 3.994
_cell_angle_alpha 90.00
_cell_angle_beta 90.00
_cell_angle_gamma 90.00
loop_
_atom_site_label
_atom_site_fract_x
_atom_site_fract_y
_atom_site_fract_z
Ta1 0.000 0.000 0.500
Sn1 0.500 0.500 0.500
H1 0.000 0.000 0.000
Fe1 0.000 0.500 0.000
Fe2 0.500 0.000 0.000
```

Record 3
## Fe2TcSnH (GGA-PBE)

Data for crystalline Fe2TcSnH at its relaxed geometry.

## Properties
calculated total energy = -0.2510 hartree per atom

```
data_Fe2TcSnH
_chemical_formula_sum 'Fe2 Tc1 Sn1 H1'
_space_group_name_H-M_alt 'P 1'
_space_group_IT_number 1
_space_group_name_Hall 'P 1'
_cell_length_a 3.943
_cell_length_b 3.943
_cell_length_c 3.957
_cell_angle_alpha 90.00
_cell_angle_beta 90.00
_cell_angle_gamma 90.00
loop_
_atom_site_label
_atom_site_fract_x
_atom_site_fract_y
_atom_site_fract_z
Tc1 0.000 0.000 0.500
Fe1 0.500 0.000 0.000
Fe2 0.000 0.500 0.000
Sn1 0.500 0.500 0.500
H1 0.000 0.000 0.000
```

Record 4
## ThFe2SnH8 (GGA-PBE)

Data for crystalline ThFe2SnH8 at its relaxed geometry.

## Properties
calculated total energy = -0.1689 hartree per atom

```
data_ThFe2SnH8
_chemical_formula_sum 'Th1 Fe2 Sn1 H8'
_space_group_name_H-M_alt 'P 1'
_space_group_IT_number 1
_space_group_name_Hall 'P 1'
_cell_length_a 4.676
_cell_length_b 4.676
_cell_length_c 6.143
_cell_angle_alpha 67.63
_cell_angle_beta 67.63
_cell_angle_gamma 60.00
loop_
_atom_site_label
_atom_site_fract_x
_atom_site_fract_y
_atom_site_fract_z
H1 0.518 0.109 0.855
H2 0.199 0.199 0.402
H3 0.891 0.483 0.145
H4 0.517 0.518 0.855
H5 0.109 0.517 0.855
H6 0.483 0.482 0.145
H7 0.482 0.891 0.145
H8 0.801 0.801 0.598
Fe1 0.700 0.700 0.900
Fe2 0.300 0.300 0.100
Sn1 0.000 0.000 0.000
Th1 0.500 0.500 0.500
```

Record 5
## ZrFe2SnH (GGA-PBE)

Data for crystalline ZrFe2SnH at its relaxed geometry.

## Properties
calculated total energy = -0.2449 hartree per atom

```
data_ZrFe2SnH
_chemical_formula_sum 'Zr1 Fe2 Sn1 H1'
_space_group_name_H-M_alt 'P 1'
_space_group_IT_number 1
_space_group_name_Hall 'P 1'
_cell_length_a 4.101
_cell_length_b 4.101
_cell_length_c 4.158
_cell_angle_alpha 90.00
_cell_angle_beta 90.00
_cell_angle_gamma 90.00
loop_
_atom_site_label
_atom_site_fract_x
_atom_site_fract_y
_atom_site_fract_z
Fe1 0.000 0.500 0.000
Fe2 0.500 0.000 0.000
H1 0.000 0.000 0.000
Zr1 0.000 0.000 0.500
Sn1 0.500 0.500 0.500
```

Record 6
## SrFe3H (GGA-PBE)

Data for crystalline SrFe3H at its relaxed geometry.

## Properties
calculated total energy = -0.1208 hartree per atom

```
data_SrFe3H
_chemical_formula_sum 'Sr1 Fe3 H1'
_space_group_name_H-M_alt 'P 1'
_space_group_IT_number 1
_space_group_name_Hall 'P 1'
_cell_length_a 4.937
_cell_length_b 4.937
_cell_length_c 4.937
_cell_angle_alpha 90.00
_cell_angle_beta 90.00
_cell_angle_gamma 90.00
loop_
_atom_site_label
_atom_site_fract_x
_atom_site_fract_y
_atom_site_fract_z
Fe1 0.500 0.000 0.000
Fe2 0.000 0.000 0.500
Fe3 0.000 0.500 0.000
H1 0.500 0.500 0.500
Sr1 0.000 0.000 0.000
```

Record 7
## SrFeH6 (GGA-PBE)

Data for crystalline SrFeH6 at its relaxed geometry.

## Properties
calculated total energy = -0.1409 hartree per atom

```
data_SrFeH6
_chemical_formula_sum 'Sr1 Fe1 H6'
_space_group_name_H-M_alt 'P 1'
_space_group_IT_number 1
_space_group_name_Hall 'P 1'
_cell_length_a 4.774
_cell_length_b 4.774
_cell_length_c 4.822
_cell_angle_alpha 89.98
_cell_angle_beta 119.67
_cell_angle_gamma 120.02
loop_
_atom_site_label
_atom_site_fract_x
_atom_site_fract_y
_atom_site_fract_z
H1 0.695 0.090 0.784
H2 0.821 0.911 0.216
H3 0.305 0.910 0.216
H4 0.179 0.089 0.784
H5 0.694 0.605 0.784
H6 0.306 0.395 0.216
Fe1 0.000 0.000 0.000
Sr1 0.000 0.500 0.500
```

Record 8
## SrFeH2 (GGA-PBE)

Data for crystalline SrFeH2 at its relaxed geometry.

## Properties
calculated total energy = -0.1540 hartree per atom

```
data_SrFeH2
_chemical_formula_sum 'Sr2 Fe2 H4'
_space_group_name_H-M_alt 'P 1'
_space_group_IT_number 1
_space_group_name_Hall 'P 1'
_cell_length_a 5.258
_cell_length_b 5.258
_cell_length_c 5.184
_cell_angle_alpha 59.53
_cell_angle_beta 59.53
_cell_angle_gamma 90.00
loop_
_atom_site_label
_atom_site_fract_x
_atom_site_fract_y
_atom_site_fract_z
H1 0.875 0.749 0.750
H2 0.251 0.625 0.250
H3 0.375 0.501 0.750
H4 0.499 0.125 0.250
Sr1 0.000 0.000 0.000
Sr2 0.750 0.250 0.500
Fe1 0.250 0.750 0.500
Fe2 0.500 0.500 0.000
```

Record 9
## SrFe2H (GGA-PBE)

Data for crystalline SrFe2H at its relaxed geometry.

## Properties
calculated total energy = -0.1920 hartree per atom

```
data_SrFe2H
_chemical_formula_sum 'Sr2 Fe4 H2'
_space_group_name_H-M_alt 'P 1'
_space_group_IT_number 1
_space_group_name_Hall 'P 1'
_cell_length_a 5.528
_cell_length_b 5.528
_cell_length_c 5.527
_cell_angle_alpha 59.99
_cell_angle_beta 59.99
_cell_angle_gamma 90.00
loop_
_atom_site_label
_atom_site_fract_x
_atom_site_fract_y
_atom_site_fract_z
H1 0.250 0.750 0.500
H2 0.500 0.500 0.000
Fe1 0.875 0.625 0.750
Fe2 0.375 0.125 0.250
Fe3 0.375 0.625 0.750
Fe4 0.375 0.625 0.250
Sr1 0.750 0.250 0.500
Sr2 0.000 0.000 0.000
```

Record 10
## SrFeH5 (GGA-PBE)

Data for crystalline SrFeH5 at its relaxed geometry.

## Properties
calculated total energy = -0.1461 hartree per atom

```
data_SrFeH5
_chemical_formula_sum 'Sr1 Fe1 H5'
_space_group_name_H-M_alt 'P 1'
_space_group_IT_number 1
_space_group_name_Hall 'P 1'
_cell_length_a 3.544
_cell_length_b 4.793
_cell_length_c 4.793
_cell_angle_alpha 68.06
_cell_angle_beta 68.30
_cell_angle_gamma 68.30
loop_
_atom_site_label
_atom_site_fract_x
_atom_site_fract_y
_atom_site_fract_z
H1 0.848 0.934 0.369
H2 0.848 0.369 0.934
H3 0.500 0.000 0.000
H4 0.152 0.066 0.631
H5 0.152 0.631 0.066
Fe1 0.000 0.000 0.000
Sr1 0.500 0.500 0.500
```

Record 11
## SrFe2H (GGA-PBE)

Data for crystalline SrFe2H at its relaxed geometry.

## Properties
calculated total energy = -0.1464 hartree per atom

```
data_SrFe2H
_chemical_formula_sum 'Sr1 Fe2 H1'
_space_group_name_H-M_alt 'P 1'
_space_group_IT_number 1
_space_group_name_Hall 'P 1'
_cell_length_a 4.694
_cell_length_b 4.694
_cell_length_c 4.694
_cell_angle_alpha 60.00
_cell_angle_beta 60.00
_cell_angle_gamma 60.00
loop_
_atom_site_label
_atom_site_fract_x
_atom_site_fract_y
_atom_site_fract_z
Sr1 0.500 0.500 0.500
Fe1 0.750 0.750 0.750
Fe2 0.250 0.250 0.250
H1 0.000 0.000 0.000
```

Record 12
## SrFe3H (GGA-PBE)

Data for crystalline SrFe3H at its relaxed geometry.

## Properties
calculated total energy = -0.1973 hartree per atom

```
data_SrFe3H
_chemical_formula_sum 'Sr1 Fe3 H1'
_space_group_name_H-M_alt 'P 1'
_space_group_IT_number 1
_space_group_name_Hall 'P 1'
_cell_length_a 4.082
_cell_length_b 4.082
_cell_length_c 4.082
_cell_angle_alpha 90.00
_cell_angle_beta 90.00
_cell_angle_gamma 90.00
loop_
_atom_site_label
_atom_site_fract_x
_atom_site_fract_y
_atom_site_fract_z
Sr1 0.500 0.500 0.500
H1 0.000 0.000 0.000
Fe1 0.000 0.500 0.000
Fe2 0.000 0.000 0.500
Fe3 0.500 0.000 0.000
```

Here are the calculated M_tot numbers, same order: 2.01, 4.91, 5.74, 0.00, 4.98, 7.21, 2.00, 4.00, 7.94, 1.38, 5.93, 6.77 (μB/cell).